DFT (SCAN) results for a PBEsol-optimized structure of Eu2CoRuO6.

abc: 5.2960 5.5086 9.2219
angles: 90.00 124.76 90.00
Last column: nearest neighbours and their distance in Å.
Atoms (fractional coordinates):
Eu: 0.2335 0.0593 0.2484  6 O 2.31-2.55
Eu: 0.2335 0.4407 0.7484  6 O 2.31-2.55
Eu: 0.7665 0.5593 0.2516  6 O 2.31-2.55
Eu: 0.7665 0.9407 0.7516  6 O 2.31-2.55
Co: 0.0000 0.0000 0.5000  6 O 1.91-1.95
Co: 0.0000 0.5000 0.0000  6 O 1.91-1.95
Ru: 0.5000 0.0000 0.0000  6 O 1.99-2.01
Ru: 0.5000 0.5000 0.5000  6 O 1.99-2.01
O: 0.1510 0.2074 0.9565  1 Co 1.94, 1 Ru 2.01
O: 0.1510 0.2926 0.4565  1 Co 1.94, 1 Ru 2.01
O: 0.2536 0.6991 0.9562  1 Co 1.95, 1 Ru 2.00
O: 0.2536 0.8009 0.4562  1 Co 1.95, 1 Ru 2.00
O: 0.3301 0.0186 0.7445  1 Co 1.91, 1 Ru 1.99
O: 0.3301 0.4814 0.2445  1 Co 1.91, 1 Ru 1.99
O: 0.6699 0.5186 0.7555  1 Co 1.91, 1 Ru 1.99
O: 0.6699 0.9814 0.2555  1 Co 1.91, 1 Ru 1.99
O: 0.7464 0.1991 0.5438  1 Co 1.95, 1 Ru 2.00
O: 0.7464 0.3009 0.0438  1 Co 1.95, 1 Ru 2.00
O: 0.8490 0.7074 0.5435  1 Co 1.94, 1 Ru 2.01
O: 0.8490 0.7926 0.0435  1 Co 1.94, 1 Ru 2.01

Properties
DOS(E_F): 11.197 states/eV/f.u.
Total energy: -21.94 eV/atom
Crystal system: monoclinic
Magnetic moment: 11.00 μB per formula unit

=====

DFT (SCAN) results for a PBEsol-optimized structure of CoF2.

abc: 4.6257 4.6257 3.1450
angles: 90.00 90.00 90.00
Last column: nearest neighbours and their distance in Å.
Atoms (fractional coordinates):
Co: 0.0000 0.0000 0.0000  6 F 1.98-2.04
Co: 0.5000 0.5000 0.5000  6 F 1.98-2.04
F: 0.1979 0.1979 0.5000  3 Co 1.98-2.04
F: 0.3021 0.6979 0.0000  3 Co 1.98-2.04
F: 0.6979 0.3021 0.0000  3 Co 1.98-2.04
F: 0.8021 0.8021 0.5000  3 Co 1.98-2.04

Properties
Total energy: -10.15 eV/atom
Crystal system: tetragonal
Magnetic moment: 1.03 μB per formula unit

=====

DFT (SCAN) results for a PBEsol-optimized structure of Na2GaCoF.

abc: 5.6831 5.6831 3.5333
angles: 90.00 90.00 90.00
Last column: nearest neighbours and their distance in Å.
Atoms (fractional coordinates):
Na: 0.0000 0.5000 0.0000  2 Co 2.84
Na: 0.5000 0.0000 0.0000  2 Co 2.84
Ga: 0.0000 0.0000 0.5000  8 Na 3.35, 2 Ga 3.53
Co: 0.5000 0.5000 0.0000  2 F 1.77
F: 0.5000 0.5000 0.5000  2 Co 1.77

Properties
DOS(E_F): 4.472 states/eV/f.u.
Total energy: -9.20 eV/atom
Crystal system: tetragonal
Magnetic moment: 1.84 μB per formula unit

=====

DFT (SCAN) results for a PBEsol-optimized structure of GaCoOF2.

abc: 3.9343 3.9343 3.6675
angles: 90.00 90.00 90.00
Last column: nearest neighbours and their distance in Å.
Atoms (fractional coordinates):
Ga: 0.0000 0.0000 0.0000  2 O 1.83, 4 F 1.97
Co: 0.5000 0.5000 0.5000  8 F 2.69, 4 O 2.78
O: 0.0000 0.0000 0.5000  2 Ga 1.83
F: 0.0000 0.5000 0.0000  2 Ga 1.97
F: 0.5000 0.0000 0.0000  2 Ga 1.97

Properties
DOS(E_F): 5.036 states/eV/f.u.
Total energy: -10.72 eV/atom
Crystal system: tetragonal
Magnetic moment: 2.32 μB per formula unit

=====

DFT (SCAN) results for a PBEsol-optimized structure of Ga2CoPdF.

abc: 4.7727 4.7727 3.9580
angles: 90.00 90.00 90.00
Last column: nearest neighbours and their distance in Å.
Atoms (fractional coordinates):
Ga: 0.0000 0.5000 0.0000  2 Pd 2.39
Ga: 0.5000 0.0000 0.0000  2 Pd 2.39
Co: 0.0000 0.0000 0.5000  8 Ga 3.10, 4 F 3.37
Pd: 0.5000 0.5000 0.0000  2 F 1.98
F: 0.5000 0.5000 0.5000  2 Pd 1.98

Properties
DOS(E_F): 1.489 states/eV/f.u.
Total energy: -17.19 eV/atom
Crystal system: tetragonal
Magnetic moment: 2.03 μB per formula unit

=====

DFT (SCAN) results for a PBEsol-optimized structure of CoGeF2.

abc: 2.8562 2.8562 22.1029
angles: 90.00 90.00 120.00
Last column: nearest neighbours and their distance in Å.
Atoms (fractional coordinates):
Co: 0.0000 0.0000 0.0000  6 F 2.09
Co: 0.3333 0.6667 0.6667  6 F 2.09
Co: 0.6667 0.3333 0.3333  6 F 2.09
Ge: 0.0000 0.0000 0.5000  2 F 2.40
Ge: 0.3333 0.6667 0.1667  2 F 2.40
Ge: 0.6667 0.3333 0.8333  2 F 2.40
F: 0.0000 0.0000 0.3913  3 Co 2.09
F: 0.0000 0.0000 0.6087  3 Co 2.09
F: 0.3333 0.6667 0.0579  3 Co 2.09
F: 0.3333 0.6667 0.2754  3 Co 2.09
F: 0.6667 0.3333 0.7246  3 Co 2.09
F: 0.6667 0.3333 0.9421  3 Co 2.09

Properties
DOS(E_F): 1.793 states/eV/f.u.
Total energy: -12.14 eV/atom
Crystal system: trigonal
Magnetic moment: 2.56 μB per formula unit

=====

DFT (SCAN) results for a PBEsol-optimized structure of CoGeF3.

abc: 3.9988 3.9988 3.9988
angles: 90.00 90.00 90.00
Last column: nearest neighbours and their distance in Å.
Atoms (fractional coordinates):
Co: 0.0000 0.0000 0.0000  6 F 2.00
Ge: 0.5000 0.5000 0.5000  12 F 2.83
F: 0.0000 0.0000 0.5000  2 Co 2.00
F: 0.0000 0.5000 0.0000  2 Co 2.00
F: 0.5000 0.0000 0.0000  2 Co 2.00

Properties
DOS(E_F): 5.887 states/eV/f.u.
Total energy: -10.78 eV/atom
Crystal system: cubic
Magnetic moment: 2.49 μB per formula unit

=====

DFT (SCAN) results for a PBEsol-optimized structure of CoGeN2F.

abc: 3.7510 3.7510 3.7257
angles: 90.00 90.00 90.00
Last column: nearest neighbours and their distance in Å.
Atoms (fractional coordinates):
Co: 0.0000 0.0000 0.0000  8 N 2.64, 4 F 2.65
Ge: 0.5000 0.5000 0.5000  2 F 1.86, 4 N 1.88
N: 0.0000 0.5000 0.5000  2 Ge 1.88
N: 0.5000 0.0000 0.5000  2 Ge 1.88
F: 0.5000 0.5000 0.0000  2 Ge 1.86

Properties
E above lowest polymorph: 0.053 eV per atom
DOS(E_F): 0.770 states/eV/f.u.
Crystal system: tetragonal
Magnetic moment: 2.15 μB per formula unit

=====

DFT (SCAN) results for a PBEsol-optimized structure of CoGeN2F.

abc: 3.6491 3.6491 3.9485
angles: 90.00 90.00 90.00
Last column: nearest neighbours and their distance in Å.
Atoms (fractional coordinates):
Co: 0.0000 0.0000 0.0000  4 N 1.82, 2 F 1.97
Ge: 0.5000 0.5000 0.5000  4 F 2.58, 8 N 2.69
N: 0.0000 0.5000 0.0000  2 Co 1.82
N: 0.5000 0.0000 0.0000  2 Co 1.82
F: 0.0000 0.0000 0.5000  2 Co 1.97

Properties
E above lowest polymorph: 0.000 eV per atom
DOS(E_F): 1.344 states/eV/f.u.
Crystal system: tetragonal
Magnetic moment: 3.80 μB per formula unit

=====

DFT (SCAN) results for a PBEsol-optimized structure of CoSiH12O6F6.

abc: 6.1910 6.1910 6.1910
angles: 96.67 96.67 96.67
Last column: nearest neighbours and their distance in Å.
Atoms (fractional coordinates):
Co: 0.0000 0.0000 0.0000  6 O 1.99
Si: 0.5000 0.5000 0.5000  6 F 1.71
H: 0.0654 0.1879 0.4037  1 O 0.99
H: 0.1829 0.7992 0.6990  1 O 0.99
H: 0.1879 0.4037 0.0654  1 O 0.99
H: 0.2008 0.3010 0.8171  1 O 0.99
H: 0.3010 0.8171 0.2008  1 O 0.99
H: 0.4037 0.0654 0.1879  1 O 0.99
H: 0.5963 0.9346 0.8121  1 O 0.99
H: 0.6990 0.1829 0.7992  1 O 0.99
H: 0.7992 0.6990 0.1829  1 O 0.99
H: 0.8121 0.5963 0.9346  1 O 0.99
H: 0.8171 0.2008 0.3010  1 O 0.99
H: 0.9346 0.8121 0.5963  1 O 0.99
O: 0.0607 0.8887 0.7005  2 H 0.99
O: 0.1113 0.2995 0.9393  2 H 0.99
O: 0.2995 0.9393 0.1113  2 H 0.99
O: 0.7005 0.0607 0.8887  2 H 0.99
O: 0.8887 0.7005 0.0607  2 H 0.99
O: 0.9393 0.1113 0.2995  2 H 0.99
F: 0.3026 0.3132 0.5688  1 Si 1.71, 2 H 1.73
F: 0.3132 0.5688 0.3026  1 Si 1.71, 2 H 1.73
F: 0.4312 0.6974 0.6868  1 Si 1.71, 2 H 1.73
F: 0.5688 0.3026 0.3132  1 Si 1.71, 2 H 1.73
F: 0.6868 0.4312 0.6974  1 Si 1.71, 2 H 1.73
F: 0.6974 0.6868 0.4312  1 Si 1.71, 2 H 1.73

Properties
DOS(E_F): 6.940 states/eV/f.u.
Total energy: -6.53 eV/atom
Crystal system: trigonal
Magnetic moment: 3.00 μB per formula unit

=====

DFT (SCAN) results for a PBEsol-optimized structure of CoSn2H12O6F6.

abc: 6.4003 6.7911 7.1004
angles: 75.32 80.06 69.42
Last column: nearest neighbours and their distance in Å.
Atoms (fractional coordinates):
Co: 0.0000 0.0000 0.0000  6 O 1.97-2.18
Sn: 0.3597 0.3230 0.3679  3 F 2.10-2.15
Sn: 0.6403 0.6770 0.6321  3 F 2.10-2.15
H: 0.0780 0.7956 0.3691  1 O 1.00
H: 0.1107 0.7481 0.7359  1 O 1.00
H: 0.2443 0.6273 0.9257  1 O 1.01
H: 0.2506 0.2509 0.9714  1 O 1.00
H: 0.2745 0.8943 0.2739  1 O 1.00
H: 0.3502 0.0901 0.8173  1 O 1.00
H: 0.6498 0.9099 0.1827  1 O 1.00
H: 0.7255 0.1057 0.7261  1 O 1.00
H: 0.7494 0.7491 0.0286  1 O 1.00
H: 0.7557 0.3727 0.0743  1 O 1.01
H: 0.8893 0.2519 0.2641  1 O 1.00
H: 0.9220 0.2044 0.6309  1 O 1.00
O: 0.1757 0.8218 0.2450  2 H 1.00
O: 0.2053 0.7661 0.8253  2 H 1.00-1.01
O: 0.2135 0.1604 0.8988  2 H 1.00
O: 0.7865 0.8396 0.1012  2 H 1.00
O: 0.7947 0.2339 0.1747  2 H 1.00-1.01
O: 0.8243 0.1782 0.7550  2 H 1.00
F: 0.0342 0.2845 0.4180  2 H 1.61-1.65
F: 0.3030 0.4034 0.0710  2 H 1.54-1.57
F: 0.4428 0.0022 0.3229  2 H 1.55-1.62
F: 0.5572 0.9978 0.6771  2 H 1.55-1.62
F: 0.6970 0.5966 0.9290  2 H 1.54-1.57
F: 0.9658 0.7155 0.5820  2 H 1.61-1.65

Properties
DOS(E_F): 0.000 states/eV/f.u.
Total energy: -8.48 eV/atom
Crystal system: triclinic
Magnetic moment: 3.00 μB per formula unit

=====

DFT (SCAN) results for a PBEsol-optimized structure of CoHSe2F.

abc: 5.2187 5.2187 2.4732
angles: 90.00 90.00 90.00
Last column: nearest neighbours and their distance in Å.
Atoms (fractional coordinates):
Co: 0.0000 0.0000 0.0000  2 Co 2.47
H: 0.5000 0.5000 0.5000  2 F 1.24
Se: 0.0000 0.5000 0.5000  2 Se 2.47, 2 H 2.61
Se: 0.5000 0.0000 0.5000  2 Se 2.47, 2 H 2.61
F: 0.5000 0.5000 0.0000  2 H 1.24

Properties
DOS(E_F): 2.270 states/eV/f.u.
Total energy: -12.91 eV/atom
Crystal system: tetragonal
Magnetic moment: 2.38 μB per formula unit

=====

Which value of magnetic moment does entry 7 give? 2.49 μB per formula unit

=====

What is the formula in the seventh record? CoGeF3

=====

Which of these has the highest magnetic moment? Eu2CoRuO6